Record 1
This record from the Alexandria database describes a relaxed structure of ZrUBi2. The functional is PBE.

## Properties
crystal system = tetragonal
energy = -6.9201 eV/atom
M_tot = 3.3 μB per formula unit
formation energy = -0.02 eV/atom
distance to the lowest polymorph of the same formula = 0.0145 eV/atom

a = 3.6970 Å, b = 3.6970 Å, c = 7.7173 Å
α = 90.00°, β = 90.00°, γ = 90.00°
With the nearest neighbours (Å) after each atom.
Space group P4/mmm (No. 123)
One atom of each set of equivalent atoms:
Zr 0.0000 0.0000 0.0000 (multiplicity 1)  8 Bi 3.17
U 0.0000 0.0000 0.5000 (multiplicity 1)  8 Bi 3.33, 4 U 3.70
Bi 0.5000 0.5000 0.2327 (multiplicity 2)  4 Zr 3.17, 4 U 3.33

---

Record 2
This record from the Alexandria database describes a relaxed structure of YOs3Pt. The functional is PBE.

## Properties
crystal system = cubic
energy = -7.5427 eV/atom
M_tot = 2.0 μB per formula unit
formation energy = 1.70 eV/atom
distance to the lowest polymorph of the same formula = 0.0000 eV/atom

a = 4.7916 Å, b = 4.7916 Å, c = 4.7916 Å
α = 90.00°, β = 90.00°, γ = 90.00°
With the nearest neighbours (Å) after each atom.
Space group Pm-3m (No. 221)
One atom of each set of equivalent atoms:
Y 0.0000 0.0000 0.0000 (multiplicity 1)  12 Os 3.39
Os 0.0000 0.5000 0.5000 (multiplicity 3)  2 Pt 2.40
Pt 0.5000 0.5000 0.5000 (multiplicity 1)  6 Os 2.40

---

Record 3
This record from the Alexandria database describes a relaxed structure of TaBeCo3. The functional is PBE.

## Properties
crystal system = hexagonal
energy = -7.4392 eV/atom
M_tot = 0.0 μB per formula unit
formation energy = -0.06 eV/atom
distance to the lowest polymorph of the same formula = 0.0000 eV/atom

a = 5.4426 Å, b = 5.4426 Å, c = 4.3936 Å
α = 90.00°, β = 90.00°, γ = 120.00°
With the nearest neighbours (Å) after each atom.
Space group P6_3/mmc (No. 194)
One atom of each set of equivalent atoms:
Ta 0.3333 0.6667 0.2500 (multiplicity 2)  12 Co 2.61-2.73
Be 0.0000 0.0000 0.0000 (multiplicity 2)  6 Co 2.05, 2 Be 2.20
Co 0.1833 0.3667 0.7500 (multiplicity 6)  2 Be 2.05

---

- Among the records above, which one has the highest energy?
  ZrUBi2